1.
Below is an optimized crystal structure of Ba2NiMo, with properties calculated at the PBE level.

Structure (CIF):
```
data_Ba2NiMo
_cell_length_a 11.858
_cell_length_b 11.858
_cell_length_c 4.618
_cell_angle_alpha 90.00
_cell_angle_beta 90.00
_cell_angle_gamma 90.00
_space_group_name_H-M_alt 'I -4 2 d'
_space_group_IT_number 122
_space_group_name_Hall 'I -4 2bw'
loop_
_atom_site_label
_atom_site_type_symbol
_atom_site_fract_x
_atom_site_fract_y
_atom_site_fract_z
_atom_site_occupancy
Ba1 Ba 0.074 0.250 0.125 1
Ni1 Ni 0.000 0.000 0.000 1
Mo1 Mo 0.000 0.000 0.500 1
```

Summary:
- total DFT energy (no corrections) (eV for the cell shown) = -69.46
- energy above the lowest structure with this stoichiometry (eV/atom) = 0.1841
- energy of formation (meV per atom) = 773
- total magnetic moment (μB per atom) = 0.597

---

2.
Below is an optimized crystal structure of BaNiMo, with properties calculated at the PBE level.

Structure (CIF):
```
data_BaNiMo
_cell_length_a 3.069
_cell_length_b 3.707
_cell_length_c 11.953
_cell_angle_alpha 90.00
_cell_angle_beta 90.00
_cell_angle_gamma 90.00
_space_group_name_H-M_alt 'I m m 2'
_space_group_IT_number 44
loop_
_space_group_symop_operation_xyz
'x,y,z'
'-x,-y,z'
'-x,y,z'
'x,-y,z'
'x+1/2,y+1/2,z+1/2'
'-x+1/2,-y+1/2,z+1/2'
'-x+1/2,y+1/2,z+1/2'
'x+1/2,-y+1/2,z+1/2'
loop_
_atom_site_label
_atom_site_type_symbol
_atom_site_fract_x
_atom_site_fract_y
_atom_site_fract_z
_atom_site_occupancy
Ba1 Ba 0.000 0.000 0.000 1
Ni1 Ni 0.000 0.000 0.288 1
Mo1 Mo 0.000 0.000 0.729 1
```

Summary:
- total DFT energy (no corrections) (eV for the cell shown) = -32.87
- energy above the lowest structure with this stoichiometry (eV/atom) = 0.3890
- energy of formation (meV per atom) = 699
- total magnetic moment (μB per atom) = 0.000

---

3.
Below is an optimized crystal structure of BaNiMo, with properties calculated at the PBE level.

Structure (CIF):
```
data_BaNiMo
_cell_length_a 3.727
_cell_length_b 3.730
_cell_length_c 11.314
_cell_angle_alpha 87.46
_cell_angle_beta 87.31
_cell_angle_gamma 89.67
_space_group_name_H-M_alt 'P 1'
_space_group_IT_number 1
loop_
_space_group_symop_operation_xyz
'x,y,z'
loop_
_atom_site_label
_atom_site_type_symbol
_atom_site_fract_x
_atom_site_fract_y
_atom_site_fract_z
_atom_site_occupancy
Ba1 Ba 0.000 0.000 0.000 1
Ba2 Ba 0.494 0.518 0.346 1
Ni1 Ni 0.461 0.930 0.566 1
Ni2 Ni 0.962 0.419 0.566 1
Mo1 Mo 0.441 0.411 0.738 1
Mo2 Mo 0.940 0.901 0.712 1
```

Summary:
- total DFT energy (no corrections) (eV for the cell shown) = -34.75
- energy above the lowest structure with this stoichiometry (eV/atom) = 0.0757
- energy of formation (meV per atom) = 386
- total magnetic moment (μB per atom) = 0.000